Model a:
# YPt3Se | the Alexandria database | PBE | optimized geometry
# DOS(E_F) in states/eV/f.u.: 4.25
# Magnetic moment in μB/atom: 0.000
data_YPt3Se
_cell_length_a 5.1004
_cell_length_b 5.1004
_cell_length_c 5.1004
_cell_angle_alpha 90.00
_cell_angle_beta 90.00
_cell_angle_gamma 90.00
_symmetry_space_group_name_H-M 'P m -3 m'
_symmetry_Int_Tables_number 221
_symmetry_space_group_name_Hall '-P 4 2 3'
loop_
_atom_site_label
_atom_site_fract_x
_atom_site_fract_y
_atom_site_fract_z
Y1 0.0000 0.0000 0.0000
Pt1 0.0000 0.0000 0.5000
Se1 0.5000 0.5000 0.5000

Model b:
# YPt3Se | the Alexandria database | PBE | optimized geometry
# DOS(E_F) in states/eV/f.u.: 2.51
# Magnetic moment in μB/atom: 0.000
data_YPt3Se
_cell_length_a 4.7468
_cell_length_b 4.7468
_cell_length_c 4.7468
_cell_angle_alpha 90.00
_cell_angle_beta 90.00
_cell_angle_gamma 90.00
_symmetry_space_group_name_H-M 'P m -3 m'
_symmetry_Int_Tables_number 221
_symmetry_space_group_name_Hall '-P 4 2 3'
loop_
_atom_site_label
_atom_site_fract_x
_atom_site_fract_y
_atom_site_fract_z
Y1 0.0000 0.0000 0.0000
Pt1 0.0000 0.5000 0.5000
Se1 0.5000 0.5000 0.5000

Stability check: which of them is least stable? model a.

Model a:
# ZnPtSe3 | the Alexandria database | PBE | optimized geometry
# DOS(E_F) in states/eV/f.u.: 6.86
# Magnetic moment in μB/atom: 0.000
data_ZnPtSe3
_cell_length_a 4.9952
_cell_length_b 4.9952
_cell_length_c 4.9952
_cell_angle_alpha 90.00
_cell_angle_beta 90.00
_cell_angle_gamma 90.00
_symmetry_space_group_name_H-M 'P m -3 m'
_symmetry_Int_Tables_number 221
_symmetry_space_group_name_Hall '-P 4 2 3'
loop_
_atom_site_label
_atom_site_fract_x
_atom_site_fract_y
_atom_site_fract_z
Zn1 0.0000 0.0000 0.0000
Pt1 0.5000 0.5000 0.5000
Se1 0.0000 0.5000 0.5000

Model b:
# ZnPtSe3 | the Alexandria database | PBE | optimized geometry
# DOS(E_F) in states/eV/f.u.: 7.11
# Magnetic moment in μB/atom: 0.000
data_ZnPtSe3
_cell_length_a 4.8139
_cell_length_b 4.8139
_cell_length_c 4.8139
_cell_angle_alpha 90.00
_cell_angle_beta 90.00
_cell_angle_gamma 90.00
_symmetry_space_group_name_H-M 'P m -3 m'
_symmetry_Int_Tables_number 221
_symmetry_space_group_name_Hall '-P 4 2 3'
loop_
_atom_site_label
_atom_site_fract_x
_atom_site_fract_y
_atom_site_fract_z
Zn1 0.0000 0.0000 0.0000
Pt1 0.5000 0.5000 0.5000
Se1 0.0000 0.0000 0.5000

Stability check: which of them is least stable? model b.

Model a:
# ZrPtSe | the Alexandria database | PBE | optimized geometry
# Magnetic moment in μB/atom: 0.000
data_ZrPtSe
_cell_length_a 3.7416
_cell_length_b 3.7416
_cell_length_c 5.4347
_cell_angle_alpha 90.00
_cell_angle_beta 90.00
_cell_angle_gamma 120.00
_symmetry_space_group_name_H-M 'P 3 m 1'
_symmetry_Int_Tables_number 156
loop_
_symmetry_equiv_pos_as_xyz
'x,y,z'
'-y,x-y,z'
'-x+y,-x,z'
'-y,-x,z'
'-x+y,y,z'
'x,x-y,z'
loop_
_atom_site_label
_atom_site_fract_x
_atom_site_fract_y
_atom_site_fract_z
Zr1 0.0000 0.0000 0.0000
Pt1 0.6667 0.3333 0.2883
Se1 0.3333 0.6667 0.6756

Model b:
# ZrPtSe | the Alexandria database | PBE | optimized geometry
# DOS(E_F) in states/eV/f.u.: 1.95
# Magnetic moment in μB/atom: 0.000
data_ZrPtSe
_cell_length_a 6.4367
_cell_length_b 6.4367
_cell_length_c 6.4367
_cell_angle_alpha 90.00
_cell_angle_beta 90.00
_cell_angle_gamma 90.00
_symmetry_space_group_name_H-M 'F -4 3 m'
_symmetry_Int_Tables_number 216
_symmetry_space_group_name_Hall 'F -4 2 3'
loop_
_atom_site_label
_atom_site_fract_x
_atom_site_fract_y
_atom_site_fract_z
Zr1 0.0000 0.0000 0.0000
Pt1 0.2500 0.2500 0.2500
Se1 0.2500 0.2500 0.7500

Model c:
# ZrPtSe | the Alexandria database | PBE | optimized geometry
# DOS(E_F) in states/eV/f.u.: 3.78
# Magnetic moment in μB/atom: 0.000
data_ZrPtSe
_cell_length_a 6.3937
_cell_length_b 6.3937
_cell_length_c 6.3937
_cell_angle_alpha 90.00
_cell_angle_beta 90.00
_cell_angle_gamma 90.00
_symmetry_space_group_name_H-M 'F -4 3 m'
_symmetry_Int_Tables_number 216
_symmetry_space_group_name_Hall 'F -4 2 3'
loop_
_atom_site_label
_atom_site_fract_x
_atom_site_fract_y
_atom_site_fract_z
Zr1 0.0000 0.0000 0.0000
Pt1 0.2500 0.2500 0.2500
Se1 0.0000 0.0000 0.5000

Stability check: which of them is least stable? model c.

Model a:
# ZrPtSe | the Alexandria database | PBE | optimized geometry
# DOS(E_F) in states/eV/f.u.: 0.83
# Magnetic moment in μB/atom: 0.000
data_ZrPtSe
_cell_length_a 3.7765
_cell_length_b 3.7765
_cell_length_c 34.7480
_cell_angle_alpha 90.00
_cell_angle_beta 90.00
_cell_angle_gamma 120.00
_symmetry_space_group_name_H-M 'R -3 m'
_symmetry_Int_Tables_number 166
_symmetry_space_group_name_Hall '-R 3 2"'
loop_
_atom_site_label
_atom_site_fract_x
_atom_site_fract_y
_atom_site_fract_z
Zr1 0.0000 0.0000 0.0710
Pt1 0.0000 0.0000 0.3565
Se1 0.0000 0.0000 0.2159

Model b:
# ZrPtSe | the Alexandria database | PBE | optimized geometry
# DOS(E_F) in states/eV/f.u.: 0.95
# Magnetic moment in μB/atom: 0.000
data_ZrPtSe
_cell_length_a 3.5012
_cell_length_b 3.5012
_cell_length_c 9.2366
_cell_angle_alpha 90.00
_cell_angle_beta 90.00
_cell_angle_gamma 90.00
_symmetry_space_group_name_H-M 'I 4 m m'
_symmetry_Int_Tables_number 107
_symmetry_space_group_name_Hall 'I 4 -2'
loop_
_atom_site_label
_atom_site_fract_x
_atom_site_fract_y
_atom_site_fract_z
Zr1 0.0000 0.0000 0.0000
Pt1 0.0000 0.0000 0.3453
Se1 0.0000 0.0000 0.6621

Stability check: which of them is least stable? model b.

Model a:
# ZrPtSe2 | the Alexandria database | PBE | optimized geometry
# DOS(E_F) in states/eV/f.u.: 1.24
# Magnetic moment in μB/atom: 0.000
data_ZrPtSe2
_cell_length_a 13.1121
_cell_length_b 3.6073
_cell_length_c 4.5128
_cell_angle_alpha 90.00
_cell_angle_beta 97.19
_cell_angle_gamma 90.00
_symmetry_space_group_name_H-M 'C 1 2/m 1'
_symmetry_Int_Tables_number 12
loop_
_symmetry_equiv_pos_as_xyz
'x,y,z'
'-x,-y,-z'
'-x,y,-z'
'x,-y,z'
'x+1/2,y+1/2,z'
'-x+1/2,-y+1/2,-z'
'-x+1/2,y+1/2,-z'
'x+1/2,-y+1/2,z'
loop_
_atom_site_label
_atom_site_fract_x
_atom_site_fract_y
_atom_site_fract_z
Zr1 0.0000 0.0000 0.0000
Pt1 0.0000 0.5000 0.5000
Se1 0.1468 0.5000 0.2065

Model b:
# ZrPtSe2 | the Alexandria database | PBE | optimized geometry
# DOS(E_F) in states/eV/f.u.: 3.75
# Magnetic moment in μB/atom: 0.000
data_ZrPtSe2
_cell_length_a 3.6228
_cell_length_b 3.6228
_cell_length_c 24.5637
_cell_angle_alpha 90.00
_cell_angle_beta 90.00
_cell_angle_gamma 120.00
_symmetry_space_group_name_H-M 'R -3 m'
_symmetry_Int_Tables_number 166
_symmetry_space_group_name_Hall '-R 3 2"'
loop_
_atom_site_label
_atom_site_fract_x
_atom_site_fract_y
_atom_site_fract_z
Zr1 0.0000 0.0000 0.0000
Pt1 0.0000 0.0000 0.5000
Se1 0.0000 0.0000 0.4024

Model c:
# ZrPtSe2 | the Alexandria database | PBE | optimized geometry
# DOS(E_F) in states/eV/f.u.: 0.73
# Magnetic moment in μB/atom: 0.000
data_ZrPtSe2
_cell_length_a 4.8088
_cell_length_b 4.8088
_cell_length_c 15.5432
_cell_angle_alpha 90.00
_cell_angle_beta 90.00
_cell_angle_gamma 90.00
_symmetry_space_group_name_H-M 'I -4 2 d'
_symmetry_Int_Tables_number 122
_symmetry_space_group_name_Hall 'I -4 2bw'
loop_
_atom_site_label
_atom_site_fract_x
_atom_site_fract_y
_atom_site_fract_z
Zr1 0.0000 0.0000 0.0000
Pt1 0.0000 0.0000 0.5000
Se1 0.2377 0.2500 0.6250

Model d:
# ZrPtSe2 | the Alexandria database | PBE | optimized geometry
# DOS(E_F) in states/eV/f.u.: 1.21
# Magnetic moment in μB/atom: 0.000
data_ZrPtSe2
_cell_length_a 3.6712
_cell_length_b 3.7671
_cell_length_c 11.8726
_cell_angle_alpha 90.00
_cell_angle_beta 90.00
_cell_angle_gamma 90.00
_symmetry_space_group_name_H-M 'A m m 2'
_symmetry_Int_Tables_number 38
loop_
_symmetry_equiv_pos_as_xyz
'x,y,z'
'-x,-y,z'
'-x,y,z'
'x,-y,z'
'x,y+1/2,z+1/2'
'-x,-y+1/2,z+1/2'
'-x,y+1/2,z+1/2'
'x,-y+1/2,z+1/2'
loop_
_atom_site_label
_atom_site_fract_x
_atom_site_fract_y
_atom_site_fract_z
Zr1 0.0000 0.0000 0.0000
Pt1 0.5000 0.0000 0.8239
Se1 0.0000 0.0000 0.3249
Se2 0.5000 0.0000 0.5952

Stability check: which of them is least stable? model c.

Model a:
# ZrPtSe2 | the Alexandria database | PBE | optimized geometry
# DOS(E_F) in states/eV/f.u.: 2.41
# Magnetic moment in μB/atom: 0.000
data_ZrPtSe2
_cell_length_a 3.5090
_cell_length_b 3.5200
_cell_length_c 6.4996
_cell_angle_alpha 90.00
_cell_angle_beta 103.93
_cell_angle_gamma 90.00
_symmetry_space_group_name_H-M 'P 1 2/m 1'
_symmetry_Int_Tables_number 10
loop_
_symmetry_equiv_pos_as_xyz
'x,y,z'
'-x,-y,-z'
'-x,y,-z'
'x,-y,z'
loop_
_atom_site_label
_atom_site_fract_x
_atom_site_fract_y
_atom_site_fract_z
Zr1 0.0000 0.0000 0.0000
Pt1 0.0000 0.0000 0.5000
Se1 0.3483 0.5000 0.7612

Model b:
# ZrPtSe2 | the Alexandria database | PBE | optimized geometry
# DOS(E_F) in states/eV/f.u.: 0.96
# Magnetic moment in μB/atom: 0.000
data_ZrPtSe2
_cell_length_a 3.6615
_cell_length_b 3.6791
_cell_length_c 13.6047
_cell_angle_alpha 90.00
_cell_angle_beta 90.00
_cell_angle_gamma 90.00
_symmetry_space_group_name_H-M 'I m m 2'
_symmetry_Int_Tables_number 44
loop_
_symmetry_equiv_pos_as_xyz
'x,y,z'
'-x,-y,z'
'-x,y,z'
'x,-y,z'
'x+1/2,y+1/2,z+1/2'
'-x+1/2,-y+1/2,z+1/2'
'-x+1/2,y+1/2,z+1/2'
'x+1/2,-y+1/2,z+1/2'
loop_
_atom_site_label
_atom_site_fract_x
_atom_site_fract_y
_atom_site_fract_z
Zr1 0.0000 0.0000 0.0000
Pt1 0.0000 0.5000 0.6542
Se1 0.0000 0.0000 0.4141
Se2 0.0000 0.5000 0.1565

Model c:
# ZrPtSe2 | the Alexandria database | PBE | optimized geometry
# DOS(E_F) in states/eV/f.u.: 3.36
# Magnetic moment in μB/atom: 0.000
data_ZrPtSe2
_cell_length_a 4.1670
_cell_length_b 4.1670
_cell_length_c 16.2218
_cell_angle_alpha 90.00
_cell_angle_beta 90.00
_cell_angle_gamma 120.00
_symmetry_space_group_name_H-M 'R -3 m'
_symmetry_Int_Tables_number 166
_symmetry_space_group_name_Hall '-R 3 2"'
loop_
_atom_site_label
_atom_site_fract_x
_atom_site_fract_y
_atom_site_fract_z
Zr1 0.0000 0.0000 0.0000
Pt1 0.0000 0.0000 0.5000
Se1 0.0000 0.0000 0.2462

Stability check: which of them is least stable? model c.